(1)
K2YCd, optimized geometry, DFT GGA-PBEsol; energy relative to the elements = 0.336 eV/atom; volume = 35.107 A^3/atom
1.0
3.608 0.000 0.000
0.000 6.683 0.000
-0.278 0.000 5.824
K Y Cd
2 1 1
Cartesian
0.774 0.000 1.539
2.556 0.000 4.284
1.804 3.341 0.000
-0.139 3.341 2.912

=====

(2)
Re5Se, optimized geometry, DFT GGA-PBEsol; energy above the lowest structure with this stoichiometry = 140 meV/atom; volume = 14.888 A^3/atom; formation energy (no corrections) = 0.521 eV per atom
1.0
1.981 -5.714 0.000
1.981 5.714 0.000
0.000 0.000 3.946
Re Se
5 1
Cartesian
0.000 0.000 0.000
1.981 3.677 1.973
1.981 1.920 0.000
1.981 -1.920 0.000
1.981 -3.677 1.973
1.981 0.000 1.973